# 1
Here is a relaxed structure of Cr2CdW from the Alexandria database. Energies are from PBE-GGA.

a b c (Å): 5.509 8.663 2.631
angles (deg): 90.00 108.83 90.00
Space group C2/m (No. 12)
One atom of each set of equivalent atoms:
Cr  0.250  0.250  0.000 x4
Cd  0.000  0.000  0.500 x2
W  0.000  0.500  0.500 x2

energy of formation: 0.622 eV per atom
magnetization: 0.0 μB/f.u.
N(E_F): 5.7 states/eV per cell

# 2
Here is a relaxed structure of RbTi3O from the Alexandria database. Energies are from PBE-GGA.

a b c (Å): 4.405 4.405 4.405
angles (deg): 90.00 90.00 90.00
Space group Pm-3m (No. 221)
One atom of each set of equivalent atoms:
Rb  0.000  0.000  0.000 x1
Ti  0.000  0.500  0.500 x3
O  0.500  0.500  0.500 x1

magnetization: 0.0 μB/f.u.
raw total energy: -28.95 eV per cell
N(E_F): 7.8 states/eV per cell

# 3
Here is a relaxed structure of SrZn3Rh from the Alexandria database. Energies are from PBE-GGA.

a b c (Å): 5.574 5.574 5.574
angles (deg): 90.00 90.00 90.00
Space group Pm-3m (No. 221)
One atom of each set of equivalent atoms:
Sr  0.000  0.000  0.000 x1
Zn  0.000  0.000  0.500 x3
Rh  0.500  0.500  0.500 x1

energy of formation: 1.507 eV per atom
magnetization: 0.0 μB/f.u.
N(E_F): 11.3 states/eV per cell

# 4
Here is a relaxed structure of Li4Cu2Ni from the Alexandria database. Energies are from PBE-GGA.

a b c (Å): 7.176 7.429 5.141
angles (deg): 90.00 134.07 90.00
Space group C2/m (No. 12)
One atom of each set of equivalent atoms:
Li  0.000  0.000  0.000 x2
Li  0.000  0.500  0.000 x2
Li  0.250  0.250  0.500 x4
Cu  0.250  0.250  0.000 x4
Ni  0.000  0.000  0.500 x2

energy of formation: 0.079 eV per atom
magnetization: 0.0 μB/f.u.
N(E_F): 3.1 states/eV per cell